No. 1
This record from the Alexandria database describes In3SnAu4 at its PBEsol-relaxed geometry. The functional is meta-GGA SCAN.

Its energy relative to the elements is -2.07 eV per formula unit. The value obtained for the total magnetization is 0.00 μB/f.u. The calculation puts the total DFT energy (no corrections) at -51.85 eV/atom. The calculated volume comes out at 164.1 Å³/cell. As for the crystal system: orthorhombic.

It has space group Pmm2 (No. 25), with a = 3.642 Å, b = 4.296 Å, c = 10.489 Å, α = 90.00°, β = 90.00° and γ = 90.00°. The distinct sites, in fractional coordinates, are In at (0.000, 0.000, 0.000), In at (0.000, 0.500, 0.288), In at (0.500, 0.500, 0.793), Sn at (0.500, 0.000, 0.499), Au at (0.000, 0.000, 0.736), Au at (0.000, 0.500, 0.555), Au at (0.500, 0.000, 0.234) and Au at (0.500, 0.500, 0.057).

No. 2
This record from the Alexandria database describes SrInAu4 at its PBEsol-relaxed geometry. The functional is meta-GGA SCAN.

Its energy relative to the elements is -2.89 eV per formula unit. The value obtained for the total magnetization is 0.00 μB/f.u. The calculation puts the total DFT energy (no corrections) at -55.86 eV/atom. The calculated volume comes out at 493.3 Å³/cell. As for the crystal system: cubic.

It has space group F-43m (No. 216), with a = 7.901 Å, b = 7.901 Å, c = 7.901 Å, α = 90.00°, β = 90.00° and γ = 90.00°. The distinct sites, in fractional coordinates, are Sr at (0.000, 0.000, 0.000), In at (0.250, 0.250, 0.750) and Au at (0.125, 0.125, 0.375).

No. 3
This record from the Alexandria database describes SrZnInAu2 at its PBEsol-relaxed geometry. The functional is meta-GGA SCAN.

Its energy relative to the elements is -0.97 eV per formula unit. The value obtained for the total magnetization is 0.00 μB/f.u. The calculation puts the total DFT energy (no corrections) at -41.69 eV/atom. The calculated volume comes out at 132.2 Å³/cell. As for the crystal system: tetragonal.

It has space group P4/mmm (No. 123), with a = 5.193 Å, b = 5.193 Å, c = 4.903 Å, α = 90.00°, β = 90.00° and γ = 90.00°. The distinct sites, in fractional coordinates, are Sr at (0.000, 0.000, 0.000), Zn at (0.500, 0.500, 0.000), In at (0.500, 0.500, 0.500) and Au at (0.000, 0.500, 0.500).

No. 4
This record from the Alexandria database describes Ta2InAu at its PBEsol-relaxed geometry. The functional is meta-GGA SCAN.

Its energy relative to the elements is -0.36 eV per formula unit. The value obtained for the total magnetization is 0.00 μB/f.u. The calculation puts the total DFT energy (no corrections) at -59.02 eV/atom. The calculated volume comes out at 71.1 Å³/cell. As for the crystal system: tetragonal.

It has space group P4/mmm (No. 123), with a = 4.016 Å, b = 4.016 Å, c = 4.406 Å, α = 90.00°, β = 90.00° and γ = 90.00°. The distinct sites, in fractional coordinates, are Ta at (0.000, 0.500, 0.000), In at (0.000, 0.000, 0.500) and Au at (0.500, 0.500, 0.500).

total magnetization of number 3 (SrZnInAu2)?
0.00 μB/f.u.

Look up the energy relative to the elements of the first one.
-2.07 eV per formula unit

The highest total DFT energy (no corrections) belongs to which entry?
SrZnInAu2